# 1
Below is a geometry-optimized Al2CuGe structure, with properties calculated at the PBE level.

Output
V   204 Å³ per cell
Electronic total energy   -3.77 eV/atom
Energy relative to the elements   0.284 eV/atom

a = 2.8516 Å, b = 2.8516 Å, c = 28.9319 Å
α = 90.00°, β = 90.00°, γ = 120.00°
Space group R-3m (No. 166, hexagonal axes)
Asymmetric unit:
Al 0.0000 0.0000 0.0859 x6
Cu 0.0000 0.0000 0.0000 x3
Ge 0.0000 0.0000 0.5000 x3

# 2
Below is a geometry-optimized Al3CuGe structure, with properties calculated at the PBE level.

Output
V   114 Å³ per cell
Electronic total energy   -3.14 eV/atom
Energy relative to the elements   0.845 eV/atom

a = 4.848 Å, b = 4.848 Å, c = 4.848 Å
α = 90.00°, β = 90.00°, γ = 90.00°
Space group Pm-3m (No. 221)
Asymmetric unit:
Al 0.000 0.000 0.500 x3
Cu 0.500 0.500 0.500 x1
Ge 0.000 0.000 0.000 x1

# 3
Below is a geometry-optimized Al2Cu8Ge structure, with properties calculated at the PBE level.

Output
V   280 Å³ per cell
Electronic total energy   -4.19 eV/atom
Energy relative to the elements   -0.110 eV/atom

a = 13.216 Å, b = 3.742 Å, c = 5.910 Å
α = 90.00°, β = 106.97°, γ = 90.00°
Space group C2/m (No. 12)
Asymmetric unit:
Al 0.221 0.000 0.146 x4
Cu 0.042 0.000 0.225 x4
Cu 0.093 0.500 0.951 x4
Cu 0.141 0.000 0.688 x4
Cu 0.180 0.500 0.410 x4
Ge 0.000 0.500 0.500 x2

# 4
Below is a geometry-optimized Al2CuGe structure, with properties calculated at the PBE level.

Output
V   286 Å³ per cell
Electronic total energy   -3.89 eV/atom
Energy relative to the elements   0.157 eV/atom

a = 4.210 Å, b = 4.210 Å, c = 16.127 Å
α = 90.00°, β = 90.00°, γ = 90.00°
Space group I-42d (No. 122)
Asymmetric unit:
Al 0.212 0.250 0.125 x8
Cu 0.000 0.000 0.000 x4
Ge 0.000 0.000 0.500 x4

# 5
Below is a geometry-optimized Al2CuGe structure, with properties calculated at the PBE level.

Output
V   63 Å³ per cell
Electronic total energy   -3.97 eV/atom
Energy relative to the elements   0.079 eV/atom

a = 4.075 Å, b = 4.075 Å, c = 3.769 Å
α = 90.00°, β = 90.00°, γ = 90.00°
Space group P4/mmm (No. 123)
Asymmetric unit:
Al 0.000 0.500 0.000 x2
Cu 0.000 0.000 0.500 x1
Ge 0.500 0.500 0.500 x1

# 6
Below is a geometry-optimized AlCu6Ge structure, with properties calculated at the PBE level.

Output
V   227 Å³ per cell
Electronic total energy   -4.06 eV/atom
Energy relative to the elements   0.056 eV/atom

a = 7.173 Å, b = 4.923 Å, c = 6.742 Å
α = 90.00°, β = 107.90°, γ = 90.00°
Space group C2/m (No. 12)
Asymmetric unit:
Al 0.000 0.000 0.000 x2
Cu 0.135 0.000 0.422 x4
Cu 0.191 0.246 0.804 x8
Ge 0.000 0.500 0.500 x2

# 7
Below is a geometry-optimized Al2Cu2Ge structure, with properties calculated at the PBE level.

Output
V   149 Å³ per cell
Electronic total energy   -4.07 eV/atom
Energy relative to the elements   -0.009 eV/atom

a = 7.356 Å, b = 7.356 Å, c = 2.757 Å
α = 90.00°, β = 90.00°, γ = 90.00°
Space group P4/mbm (No. 127)
Asymmetric unit:
Al 0.171 0.329 0.000 x4
Cu 0.125 0.625 0.500 x4
Ge 0.000 0.000 0.500 x2

# 8
Below is a geometry-optimized Al3Cu12Ge structure, with properties calculated at the PBE level.

Output
V   201 Å³ per cell
Electronic total energy   -4.20 eV/atom
Energy relative to the elements   -0.137 eV/atom

a = 3.711 Å, b = 3.711 Å, c = 14.605 Å
α = 90.00°, β = 90.00°, γ = 90.00°
Space group P4/mmm (No. 123)
Asymmetric unit:
Al 0.000 0.000 0.000 x1
Al 0.000 0.000 0.249 x2
Cu 0.000 0.500 0.125 x4
Cu 0.000 0.500 0.374 x4
Cu 0.500 0.500 0.000 x1
Cu 0.500 0.500 0.250 x2
Cu 0.500 0.500 0.500 x1
Ge 0.000 0.000 0.500 x1